Entry 1:
Below is AgTeP2N after structural relaxation, with properties calculated at the PBE level.

## Properties
Symmetry: P4/mmm (123)
Formation energy without anion corrections: 11.47 eV per formula unit

abc: 5.1230 5.1230 5.1820
angles: 90.00 90.00 90.00
Sites, in units of the cell vectors:
Ag1 0.0000 0.0000 0.0000
Te1 0.0000 0.0000 0.5000
P1 0.0000 0.5000 0.5000
P2 0.5000 0.0000 0.5000
N1 0.5000 0.5000 0.0000

Entry 2:
Below is Sn2IBr2 after structural relaxation, with properties calculated at the PBE level.

## Properties
Symmetry: P4/mbm (127)
Formation energy without anion corrections: -1.86 eV per formula unit
ΔE to the lowest computed polymorph: 10 meV/atom

abc: 8.3143 8.3143 4.5632
angles: 90.00 90.00 90.00
Sites, in units of the cell vectors:
Sn1 0.1377 0.3623 0.0000
Sn2 0.3623 0.8623 0.0000
Sn3 0.6377 0.1377 0.0000
Sn4 0.8623 0.6377 0.0000
I1 0.0000 0.0000 0.0000
I2 0.5000 0.5000 0.0000
Br1 0.1554 0.6554 0.5000
Br2 0.3446 0.1554 0.5000
Br3 0.6554 0.8446 0.5000
Br4 0.8446 0.3446 0.5000

Entry 3:
Below is PrY2Rh3 after structural relaxation, with properties calculated at the PBE level.

## Properties
Symmetry: P4/mmm (123)
DFT formation energy: -0.7475 eV per atom

abc: 3.4731 3.4731 10.5024
angles: 90.00 90.00 90.00
Sites, in units of the cell vectors:
Pr1 0.0000 0.0000 0.0000
Y1 0.0000 0.0000 0.3370
Y2 0.0000 0.0000 0.6630
Rh1 0.5000 0.5000 0.1772
Rh2 0.5000 0.5000 0.5000
Rh3 0.5000 0.5000 0.8228

Entry 4:
Below is ReSnAu3 after structural relaxation, with properties calculated at the PBE level.

## Properties
Symmetry: Pm-3m (221)
ΔE to the lowest computed polymorph: 0 meV/atom
DFT formation energy: 1.0464 eV per atom

abc: 5.0573 5.0573 5.0573
angles: 90.00 90.00 90.00
Sites, in units of the cell vectors:
Re1 0.0000 0.0000 0.0000
Sn1 0.5000 0.5000 0.5000
Au1 0.0000 0.0000 0.5000
Au2 0.0000 0.5000 0.0000
Au3 0.5000 0.0000 0.0000

Entry 5:
Below is Ba2Sn6Rh after structural relaxation, with properties calculated at the PBE level.

## Properties
Symmetry: P-3m1 (164)
DFT formation energy: -0.5088 eV per atom

abc: 6.9659 6.9659 6.1356
angles: 90.00 90.00 120.00
Sites, in units of the cell vectors:
Ba1 0.3333 0.6667 0.1761
Ba2 0.6667 0.3333 0.8239
Sn1 0.1647 0.3293 0.6918
Sn2 0.1647 0.8353 0.6918
Sn3 0.3293 0.1647 0.3082
Sn4 0.6707 0.8353 0.6918
Sn5 0.8353 0.1647 0.3082
Sn6 0.8353 0.6707 0.3082
Rh1 0.0000 0.0000 0.0000

Entry 6:
Below is Li8Cu2Si after structural relaxation, with properties calculated at the PBE level.

## Properties
Symmetry: Cmmm (65)
Formation energy without anion corrections: -0.59 eV per formula unit

abc: 6.5307 6.5307 4.2988
angles: 90.00 90.00 104.52
Sites, in units of the cell vectors:
Li1 0.0344 0.2887 0.5000
Li2 0.2500 0.7500 0.0000
Li3 0.2887 0.0344 0.5000
Li4 0.3255 0.3255 0.0000
Li5 0.6745 0.6745 0.0000
Li6 0.7113 0.9656 0.5000
Li7 0.7500 0.2500 0.0000
Li8 0.9656 0.7113 0.5000
Cu1 0.3860 0.6140 0.5000
Cu2 0.6140 0.3860 0.5000
Si1 0.0000 0.0000 0.0000

Entry 7:
Below is HoSnSe4 after structural relaxation, with properties calculated at the PBE level.

## Properties
Symmetry: P4/nbm (125)
Formation energy without anion corrections: -4.92 eV per formula unit

abc: 7.2620 7.2620 6.0462
angles: 90.00 90.00 90.00
Sites, in units of the cell vectors:
Ho1 0.2500 0.2500 0.0000
Ho2 0.7500 0.7500 0.0000
Sn1 0.2500 0.7500 0.5000
Sn2 0.7500 0.2500 0.5000
Se1 0.0447 0.5447 0.2360
Se2 0.0447 0.9553 0.7640
Se3 0.4553 0.5447 0.7640
Se4 0.4553 0.9553 0.2360
Se5 0.5447 0.0447 0.7640
Se6 0.5447 0.4553 0.2360
Se7 0.9553 0.0447 0.2360
Se8 0.9553 0.4553 0.7640

Entry 8:
Below is MgSiBr6 after structural relaxation, with properties calculated at the PBE level.

## Properties
Symmetry: C2/m (12)
Formation energy without anion corrections: -6.38 eV per formula unit

abc: 7.3089 7.3089 6.5788
angles: 99.80 99.80 126.41
Sites, in units of the cell vectors:
Mg1 0.0000 0.0000 0.0000
Si1 0.5000 0.5000 0.5000
Br1 0.1277 0.3963 0.2615
Br2 0.2832 0.2832 0.7166
Br3 0.3963 0.1277 0.2615
Br4 0.6037 0.8723 0.7385
Br5 0.7168 0.7168 0.2834
Br6 0.8723 0.6037 0.7385

Entry 9:
Below is Y5SiS5 after structural relaxation, with properties calculated at the PBE level.

## Properties
Symmetry: C2/m (12)
Formation energy without anion corrections: -20.44 eV per formula unit

abc: 6.8802 6.8802 7.9340
angles: 106.72 106.72 47.89
Sites, in units of the cell vectors:
Y1 0.0000 0.0000 0.0000
Y2 0.3354 0.3354 0.6642
Y3 0.3396 0.3396 0.1753
Y4 0.6604 0.6604 0.8247
Y5 0.6646 0.6646 0.3358
Si1 0.5000 0.5000 0.0000
S1 0.1713 0.1713 0.3331
S2 0.1726 0.1726 0.8414
S3 0.5000 0.5000 0.5000
S4 0.8274 0.8274 0.1586
S5 0.8287 0.8287 0.6669

Entry 10:
Below is ErTmTl4 after structural relaxation, with properties calculated at the PBE level.

## Properties
Symmetry: C2/m (12)
DFT formation energy: 0.0209 eV per atom

abc: 5.0252 5.0252 7.5072
angles: 90.11 90.11 94.97
Sites, in units of the cell vectors:
Er1 0.0000 0.0000 0.0000
Tm1 0.5000 0.5000 0.5000
Tl1 0.0012 0.4992 0.7488
Tl2 0.4992 0.0012 0.7488
Tl3 0.5008 0.9988 0.2512
Tl4 0.9988 0.5008 0.2512

Entry 11:
Below is TiSe2S after structural relaxation, with properties calculated at the PBE level.

## Properties
Symmetry: R-3m (166)
Formation energy without anion corrections: 1.80 eV per formula unit

abc: 8.5312 8.5312 8.5312
angles: 23.38 23.38 23.38
Sites, in units of the cell vectors:
Ti1 0.0000 0.0000 0.0000
Se1 0.0966 0.0966 0.0966
Se2 0.9034 0.9034 0.9034
S1 0.5000 0.5000 0.5000

Entry 12:
Below is ZrZnRe2 after structural relaxation, with properties calculated at the PBE level.

## Properties
Symmetry: F-43m (216)
DFT formation energy: 0.1022 eV per atom

abc: 4.5224 4.5224 4.5224
angles: 60.00 60.00 60.00
Sites, in units of the cell vectors:
Zr1 0.0000 0.0000 0.0000
Zn1 0.7500 0.7500 0.7500
Re1 0.2500 0.2500 0.2500
Re2 0.5000 0.5000 0.5000

Number 1: E_tot -2.734 eV per atom. Number 2: E_tot -2.953 eV per atom. Number 3: E_tot -7.375 eV per atom. Number 4: E_tot -4.210 eV per atom. Number 5: E_tot -4.421 eV per atom. Number 6: E_tot -2.683 eV per atom. Number 7: E_tot -4.574 eV per atom. Number 8: E_tot -2.929 eV per atom. Number 9: E_tot -7.165 eV per atom. Number 10: E_tot -3.062 eV per atom. Number 11: E_tot -4.297 eV per atom. Number 12: E_tot -8.577 eV per atom.